Density functional theory data (PBE-GGA) for a geometry-optimized NiPtI5 structure.

calculated volume	283	Å³/f.u.
N(E_F)	18.4	states/eV per cell
M_tot	0.142	μB/atom
energy	-2.863	eV/atom

Cell: 12.1651 7.3012 12.7501 Å, 90.00 90.38 90.00°
With the nearest neighbours (Å) after each atom.
Space group Cc (No. 9)
Unique sites:
Ni  0.0000  0.1980  0.0000  5 I 2.59-2.66
Pt  0.0000  0.1554  0.2707  5 I 2.64-2.92
I  0.0002  0.4756  0.4073  1 Ni 2.66, 1 Pt 2.92
I  0.1445  0.0237  0.8870  1 Ni 2.61, 1 Pt 2.64
I  0.1471  0.2853  0.1392  1 Ni 2.59, 1 Pt 2.64
I  0.3526  0.2152  0.6374  1 Ni 2.59, 1 Pt 2.64
I  0.3555  0.4765  0.3853  1 Ni 2.61, 1 Pt 2.64